(1)
Here is a relaxed Sr2AlTeC crystal from Alexandria via LeMat-Bulk. Energies are from PBE-GGA.

Cell lengths 5.6680, 5.6680, 3.9602 Å; angles 90.00, 90.00, 90.00 degrees
Last column: nearest neighbours and their distance in Å.
Sites, in units of the cell vectors:
Sr  0.0000  0.5000  0.0000  2 C 2.83
Sr  0.5000  0.0000  0.0000  2 C 2.83
C  0.0000  0.0000  0.0000  2 Al 1.98
Te  0.5000  0.5000  0.5000  8 Sr 3.46
Al  0.0000  0.0000  0.5000  2 C 1.98

Computed properties:
N(E_F), states/eV/cell: 0.8
Total DFT energy (no corrections), eV/f.u.: -21.8
Space-group type: P4/mmm
Spin magnetization, μB per formula unit: 0.00
Crystal system: tetragonal
Formation energy without anion corrections, eV/atom: -0.4672
Calculated volume, Å³ per atom: 25.445

=====

(2)
Here is a relaxed Ta3Al3C crystal from Alexandria via LeMat-Bulk. Energies are from PBE-GGA.

Cell lengths 8.3467, 8.3467, 8.3467 Å; angles 60.00, 60.00, 60.00 degrees
Last column: nearest neighbours and their distance in Å.
Sites, in units of the cell vectors:
Ta  0.0603  0.4397  0.0603  2 C 2.22
Ta  0.1897  0.1897  0.8103  2 C 2.22
Ta  0.8103  0.8103  0.1897  2 C 2.22
Ta  0.8103  0.1897  0.8103  2 C 2.22
Ta  0.8103  0.1897  0.1897  2 C 2.22
Ta  0.1897  0.8103  0.8103  2 C 2.22
Ta  0.4397  0.0603  0.0603  2 C 2.22
Ta  0.0603  0.0603  0.4397  2 C 2.22
Ta  0.4397  0.4397  0.0603  2 C 2.22
Ta  0.0603  0.4397  0.4397  2 C 2.22
Ta  0.1897  0.8103  0.1897  2 C 2.22
Ta  0.4397  0.0603  0.4397  2 C 2.22
Al  0.8376  0.8376  0.8376  3 Al 2.59, 3 Ta 2.73
Al  0.4124  0.4124  0.7627  3 Al 2.59, 3 Ta 2.73
Al  0.4124  0.7627  0.4124  3 Al 2.59, 3 Ta 2.73
Al  0.7627  0.4124  0.4124  3 Al 2.59, 3 Ta 2.73
Al  0.8376  0.4873  0.8376  3 Al 2.59, 3 Ta 2.73
Al  0.4873  0.8376  0.8376  3 Al 2.59, 3 Ta 2.73
Al  0.8376  0.8376  0.4873  3 Al 2.59, 3 Ta 2.73
Al  0.4124  0.4124  0.4124  3 Al 2.59, 3 Ta 2.73
Al  0.6250  0.6250  0.6250  6 Al 2.59
Al  0.6250  0.6250  0.1250  6 Al 2.59
Al  0.6250  0.1250  0.6250  6 Al 2.59
Al  0.1250  0.6250  0.6250  6 Al 2.59
C  0.1250  0.1250  0.1250  6 Ta 2.22
C  0.1250  0.1250  0.6250  6 Ta 2.22
C  0.1250  0.6250  0.1250  6 Ta 2.22
C  0.6250  0.1250  0.1250  6 Ta 2.22

Computed properties:
N(E_F), states/eV/cell: 14.4
Total DFT energy (no corrections), eV/f.u.: -58.7
Energy of formation from the pure elements, eV/f.u.: -2.728
Space-group type: Fd-3m
Spin magnetization, μB per formula unit: 0.00
Crystal system: cubic
Calculated volume, Å³ per atom: 14.685

=====

(3)
Here is a relaxed Ta4AlC3 crystal from Alexandria via LeMat-Bulk. Energies are from PBE-GGA.

Cell lengths 3.1416, 3.1416, 24.2606 Å; angles 90.00, 90.00, 120.00 degrees
Last column: nearest neighbours and their distance in Å.
Sites, in units of the cell vectors:
Ta  0.0000  0.0000  0.3427  3 C 2.17
Ta  0.0000  0.0000  0.8427  3 C 2.17
Ta  0.0000  0.0000  0.6573  3 C 2.17
Ta  0.0000  0.0000  0.1573  3 C 2.17
Ta  0.3333  0.6667  0.4449  6 C 2.22-2.25
Ta  0.6667  0.3333  0.9449  6 C 2.22-2.25
Ta  0.6667  0.3333  0.5551  6 C 2.22-2.25
Ta  0.3333  0.6667  0.0551  6 C 2.22-2.25
Al  0.6667  0.3333  0.7500  6 Ta 2.89, 6 Al 3.14
Al  0.3333  0.6667  0.2500  6 Ta 2.89, 6 Al 3.14
C  0.6667  0.3333  0.3920  6 Ta 2.17-2.22
C  0.3333  0.6667  0.8920  6 Ta 2.17-2.22
C  0.3333  0.6667  0.6080  6 Ta 2.17-2.22
C  0.0000  0.0000  0.0000  6 Ta 2.25
C  0.6667  0.3333  0.1080  6 Ta 2.17-2.22
C  0.0000  0.0000  0.5000  6 Ta 2.25

Computed properties:
N(E_F), states/eV/cell: 4.9
Total DFT energy (no corrections), eV/f.u.: -83.5
Energy of formation from the pure elements, eV/f.u.: -4.637
Space-group type: P6_3/mmc
Spin magnetization, μB per formula unit: 0.00
Crystal system: hexagonal
Calculated volume, Å³ per atom: 12.960